# 1
{"formula": "Ac4La15Tb", "functional": "PBE", "state": "relaxed", "space_group": "P4/mmm", "lattice_angstrom": [[5.3353, 0.0000, 0.0000], [0.0000, 5.3353, 0.0000], [0.0000, 0.0000, 26.6816]], "species": ["Ac", "Ac", "Ac", "Ac", "La", "La", "La", "La", "La", "La", "La", "La", "La", "La", "La", "La", "La", "La", "La", "Tb"], "fractional_positions": [[0.0000, 0.0000, 0.1009], [0.0000, 0.0000, 0.3024], [0.0000, 0.0000, 0.6976], [0.0000, 0.0000, 0.8991], [0.0000, 0.5000, 0.0000], [0.0000, 0.5000, 0.2014], [0.0000, 0.5000, 0.4040], [0.0000, 0.5000, 0.5960], [0.0000, 0.5000, 0.7986], [0.5000, 0.0000, 0.0000], [0.5000, 0.0000, 0.2014], [0.5000, 0.0000, 0.4040], [0.5000, 0.0000, 0.5960], [0.5000, 0.0000, 0.7986], [0.5000, 0.5000, 0.1011], [0.5000, 0.5000, 0.3042], [0.5000, 0.5000, 0.5000], [0.5000, 0.5000, 0.6958], [0.5000, 0.5000, 0.8989], [0.0000, 0.0000, 0.5000]]}

---

# 2
{"formula": "AcLa3Tb7", "functional": "PBE", "state": "relaxed", "space_group": "P3m1", "polymorph_energy_ev_per_fu": 0.00, "lattice_angstrom": [[7.1931, 0.0000, 0.0000], [-3.5965, 6.2294, 0.0000], [0.0000, 0.0000, 8.9254]], "species": ["Ac", "La", "La", "La", "Tb", "Tb", "Tb", "Tb", "Tb", "Tb", "Tb"], "fractional_positions": [[0.0000, 0.0000, 0.0000], [0.1672, 0.3344, 0.3435], [0.1672, 0.8328, 0.3435], [0.6656, 0.8328, 0.3435], [0.0017, 0.5008, 0.9997], [0.3333, 0.6667, 0.6820], [0.3347, 0.1674, 0.6758], [0.4992, 0.5008, 0.9997], [0.4992, 0.9983, 0.9997], [0.8326, 0.1674, 0.6758], [0.8326, 0.6653, 0.6758]]}

---

# 3
{"formula": "AcLa7Tb4", "functional": "PBE", "state": "relaxed", "space_group": "C2/m", "polymorph_energy_ev_per_fu": 2.36, "lattice_angstrom": [[8.2114, -3.1158, 0.0000], [8.2114, 3.1158, 0.0000], [-4.5366, 0.0000, 8.5873]], "species": ["Ac", "La", "La", "La", "La", "La", "La", "La", "Tb", "Tb", "Tb", "Tb"], "fractional_positions": [[0.0000, 0.0000, 0.0000], [0.0915, 0.0915, 0.4635], [0.2147, 0.2147, 0.8956], [0.2314, 0.2314, 0.2647], [0.5000, 0.5000, 0.0000], [0.7686, 0.7686, 0.7353], [0.7853, 0.7853, 0.1044], [0.9085, 0.9085, 0.5365], [0.3339, 0.3339, 0.6475], [0.4382, 0.4382, 0.2979], [0.5618, 0.5618, 0.7021], [0.6661, 0.6661, 0.3525]]}

---

# 4
{"formula": "AcLa7Tb3", "functional": "PBE", "state": "relaxed", "space_group": "C2/m", "polymorph_energy_ev_per_fu": 0.24, "lattice_angstrom": [[5.9605, -5.1455, 0.0000], [5.9605, 5.1455, 0.0000], [-0.6152, 0.0000, 6.6658]], "species": ["Ac", "La", "La", "La", "La", "La", "La", "La", "Tb", "Tb", "Tb"], "fractional_positions": [[0.0000, 0.0000, 0.0000], [0.0000, 0.0000, 0.5000], [0.0738, 0.4359, 0.7626], [0.2679, 0.2679, 0.2976], [0.4359, 0.0738, 0.7626], [0.5641, 0.9262, 0.2374], [0.7321, 0.7321, 0.7024], [0.9262, 0.5641, 0.2374], [0.3317, 0.6683, 0.5000], [0.5000, 0.5000, 0.0000], [0.6683, 0.3317, 0.5000]]}

---

# 5
{"formula": "Ac6La4Tb", "functional": "PBE", "state": "relaxed", "space_group": "I-42m", "lattice_angstrom": [[-3.5421, 3.5421, 9.4250], [3.5421, -3.5421, 9.4250], [3.5421, 3.5421, -9.4250]], "species": ["Ac", "Ac", "Ac", "Ac", "Ac", "Ac", "La", "La", "La", "La", "Tb"], "fractional_positions": [[0.0000, 0.5000, 0.5000], [0.0410, 0.6748, 0.0000], [0.3252, 0.3252, 0.3663], [0.5000, 0.0000, 0.5000], [0.6748, 0.0410, 0.0000], [0.9590, 0.9590, 0.6337], [0.1433, 0.1433, 0.6252], [0.4820, 0.8567, 0.0000], [0.5180, 0.5180, 0.3748], [0.8567, 0.4820, 0.0000], [0.5000, 0.5000, 0.0000]]}

---

# 6
{"formula": "Ac2La3Tb6", "functional": "PBE", "state": "relaxed", "space_group": "C2/m", "lattice_angstrom": [[3.1595, -5.4844, 0.0000], [3.1595, 5.4844, 0.0000], [-2.1098, 0.0000, 11.8873]], "species": ["Ac", "Ac", "La", "La", "La", "Tb", "Tb", "Tb", "Tb", "Tb", "Tb"], "fractional_positions": [[0.1666, 0.8334, 0.0000], [0.8334, 0.1666, 0.0000], [0.0000, 0.0000, 0.5000], [0.3355, 0.6645, 0.5000], [0.6645, 0.3355, 0.5000], [0.0823, 0.4146, 0.7447], [0.2531, 0.2531, 0.2557], [0.4146, 0.0823, 0.7447], [0.5854, 0.9177, 0.2553], [0.7469, 0.7469, 0.7443], [0.9177, 0.5854, 0.2553]]}

---

no.,energy of formation (meV per atom)
1,18
2,189
3,211
4,201
5,289
6,179